(1)
A geometry-optimized LiTa2Zn structure. Source: the Alexandria database, functional PBE.

Cell: 2.7155 2.7155 9.9317 Å, 90.00 90.00 109.67°
Closest atoms and distances in Å follow each position.
Fractional coordinates of all 4 atoms:
Ta 0.0000 0.0000 0.0117  4 Ta 2.72, 2 Zn 2.84, 2 Li 3.03
Ta 0.0000 0.0000 0.4883  4 Ta 2.72, 2 Zn 2.84, 2 Li 3.03
Li 0.5000 0.5000 0.7500  4 Li 2.72, 4 Ta 3.03
Zn 0.5000 0.5000 0.2500  4 Zn 2.72, 4 Ta 2.84

Output
**Electronic total energy**: -6.419 eV per atom
**N(E_F)**: 4.38 states/eV per cell

***

(2)
A geometry-optimized Li2TaZn structure. Source: the Alexandria database, functional PBE.

Cell: 2.7345 2.7345 8.3678 Å, 90.00 90.00 90.00°
Closest atoms and distances in Å follow each position.
Fractional coordinates of all 4 atoms:
Zn 0.5000 0.5000 0.7500  8 Li 2.71, 4 Zn 2.73
Li 0.0000 0.0000 0.9765  4 Zn 2.71, 4 Li 2.73, 4 Ta 3.00
Li 0.0000 0.0000 0.5235  4 Zn 2.71, 4 Li 2.73, 4 Ta 3.00
Ta 0.5000 0.5000 0.2500  4 Ta 2.73, 8 Li 3.00

Output
**Electronic total energy**: -4.031 eV per atom
**N(E_F)**: 2.76 states/eV per cell

***

no.,volume (Å³/atom),formation energy (eV/atom)
1,17.24,0.304
2,15.64,0.208